Here is crystalline Pr2SmEr at its relaxed geometry from the Alexandria database. Energies are from PBE-GGA. Values from VASP.

```
&SYSTEM
  ibrav = 0, nat = 4, ntyp = 3
/
ATOMIC_SPECIES
Pr 140.91 Pr.upf
Sm 150.36 Sm.upf
Er 167.26 Er.upf
ATOMIC_POSITIONS angstrom
Pr 0.0000 0.0000 0.0000
Pr 0.0000 0.0000 5.9918
Sm 0.0000 0.0000 14.8067
Er 0.0000 0.0000 20.7526
CELL_PARAMETERS angstrom
1.8267 1.0547 11.8267
-1.8267 1.0547 11.8267
0.0000 -2.1093 11.8267
```

Spin magnetization   0.000 μB per cell
Excess energy over the best structure of this formula in the dataset   7 meV/atom
Density of states at the Fermi level   5.76 states/eV per cell
ΔH_f (0 K)   0.0213 eV per atom
Symmetry   No. 160